Record 1
{
  "formula": "Ti2InNiC",
  "functional": "PBE",
  "state": "relaxed",
  "lattice": [[4.219, 0.000, 0.000], [0.000, 4.219, 0.000], [0.000, 0.000, 3.960]],
  "species": ["Ti", "Ti", "In", "Ni", "C"],
  "frac_coords": [[0.000, 0.500, 0.000], [0.500, 0.000, 0.000], [0.000, 0.000, 0.500], [0.500, 0.500, 0.500], [0.500, 0.500, 0.000]],
  "crystal_system": "tetragonal",
  "space_group": "P4/mmm, No. 123",
  "vol_a3_per_atom": 14.1,
  "delta_e_f_ev_per_atom": -0.33
}

---

Record 2
{
  "formula": "NaSb4Pb6",
  "functional": "PBE",
  "state": "relaxed",
  "lattice": [[4.721, -4.723, 0.000], [4.721, 4.723, 0.000], [-4.630, 0.000, 8.108]],
  "species": ["Na", "Sb", "Sb", "Sb", "Sb", "Pb", "Pb", "Pb", "Pb", "Pb", "Pb"],
  "frac_coords": [[0.000, 0.000, 0.000], [0.111, 0.111, 0.726], [0.387, 0.889, 0.273], [0.613, 0.613, 0.728], [0.889, 0.387, 0.273], [0.003, 0.501, 0.000], [0.101, 0.562, 0.658], [0.443, 0.443, 0.343], [0.501, 0.003, 0.000], [0.562, 0.101, 0.658], [0.902, 0.902, 0.342]],
  "formation_energy_uncorrected_ev_per_atom": -0.0349,
  "crystal_system": "monoclinic",
  "space_group": "Cm, No. 8",
  "vol_a3_per_atom": 32.9
}

---

Record 3
{
  "formula": "MgRh3",
  "functional": "PBE",
  "state": "relaxed",
  "lattice": [[4.312, 2.490, 0.921], [-4.312, 2.490, 0.921], [0.000, -4.979, 0.921]],
  "species": ["Mg", "Rh", "Rh", "Rh"],
  "frac_coords": [[0.000, 0.000, 0.000], [0.000, 0.500, 0.500], [0.500, 0.000, 0.500], [0.500, 0.500, 0.000]],
  "crystal_system": "trigonal",
  "space_group": "R-3m, No. 166",
  "vol_a3_per_atom": 14.8,
  "delta_e_f_ev_per_atom": -0.07
}

---

Record 4
{
  "formula": "CaTmNi",
  "functional": "PBE",
  "state": "relaxed",
  "lattice": [[9.860, -2.435, 0.000], [9.860, 2.435, 0.000], [-0.395, 0.000, 7.100]],
  "species": ["Ca", "Ca", "Ca", "Ca", "Tm", "Tm", "Tm", "Tm", "Ni", "Ni", "Ni", "Ni"],
  "frac_coords": [[0.069, 0.069, 0.287], [0.412, 0.412, 0.178], [0.588, 0.588, 0.822], [0.931, 0.931, 0.713], [0.206, 0.206, 0.611], [0.230, 0.230, 0.132], [0.770, 0.770, 0.868], [0.794, 0.794, 0.389], [0.324, 0.324, 0.845], [0.334, 0.334, 0.513], [0.666, 0.666, 0.487], [0.676, 0.676, 0.155]],
  "crystal_system": "monoclinic",
  "space_group": "C2/m, No. 12",
  "vol_a3_per_atom": 28.4,
  "delta_e_f_ev_per_atom": -0.14
}

---

Record 5
{
  "formula": "Cd7Ag5",
  "functional": "PBE",
  "state": "relaxed",
  "lattice": [[7.858, -1.541, 0.000], [7.858, 1.541, 0.000], [-5.218, 0.000, 9.832]],
  "species": ["Cd", "Cd", "Cd", "Cd", "Cd", "Cd", "Cd", "Ag", "Ag", "Ag", "Ag", "Ag"],
  "frac_coords": [[0.000, 0.000, 0.000], [0.144, 0.144, 0.759], [0.168, 0.168, 0.508], [0.470, 0.470, 0.748], [0.530, 0.530, 0.252], [0.832, 0.832, 0.492], [0.856, 0.856, 0.241], [0.193, 0.193, 0.246], [0.333, 0.333, 0.999], [0.500, 0.500, 0.500], [0.667, 0.667, 0.001], [0.807, 0.807, 0.754]],
  "crystal_system": "monoclinic",
  "space_group": "C2/m, No. 12",
  "vol_a3_per_atom": 19.8,
  "delta_e_f_ev_per_atom": -0.03
}

---

Record 6
{
  "formula": "KTlMo2",
  "functional": "PBE",
  "state": "relaxed",
  "lattice": [[-2.447, 2.447, 3.470], [2.447, -2.447, 3.470], [2.447, 2.447, -3.470]],
  "species": ["K", "Tl", "Mo", "Mo"],
  "frac_coords": [[0.000, 0.000, 0.000], [0.750, 0.250, 0.500], [0.250, 0.750, 0.500], [0.500, 0.500, 0.000]],
  "crystal_system": "tetragonal",
  "space_group": "I-4m2, No. 119",
  "vol_a3_per_atom": 20.8,
  "delta_e_f_ev_per_atom": 1.34
}

---

Record 7
{
  "formula": "Ba5Hg2Rh2",
  "functional": "PBE",
  "state": "relaxed",
  "lattice": [[8.843, -4.280, 0.000], [8.843, 4.280, 0.000], [0.000, 0.000, 8.544]],
  "species": ["Ba", "Ba", "Ba", "Ba", "Ba", "Ba", "Ba", "Ba", "Ba", "Ba", "Hg", "Hg", "Hg", "Hg", "Rh", "Rh", "Rh", "Rh"],
  "frac_coords": [[0.000, 0.000, 0.000], [0.049, 0.707, 0.670], [0.207, 0.549, 0.170], [0.293, 0.951, 0.670], [0.451, 0.793, 0.170], [0.500, 0.500, 0.500], [0.549, 0.207, 0.830], [0.707, 0.049, 0.330], [0.793, 0.451, 0.830], [0.951, 0.293, 0.330], [0.213, 0.213, 0.000], [0.287, 0.287, 0.500], [0.713, 0.713, 0.500], [0.787, 0.787, 0.000], [0.116, 0.884, 0.384], [0.384, 0.616, 0.884], [0.616, 0.384, 0.116], [0.884, 0.116, 0.616]],
  "crystal_system": "orthorhombic",
  "space_group": "Cmce, No. 64",
  "vol_a3_per_atom": 35.9,
  "delta_e_f_ev_per_atom": -0.29
}

---

Record 8
{
  "formula": "Hg2AsSe",
  "functional": "PBE",
  "state": "relaxed",
  "lattice": [[3.332, 0.000, 0.000], [0.000, 3.332, 0.000], [0.000, 0.000, 8.252]],
  "species": ["Hg", "Hg", "As", "Se"],
  "frac_coords": [[0.000, 0.000, 0.239], [0.000, 0.000, 0.761], [0.500, 0.500, 0.000], [0.500, 0.500, 0.500]],
  "formation_energy_uncorrected_ev_per_atom": 0.4037,
  "crystal_system": "tetragonal",
  "space_group": "P4/mmm, No. 123",
  "vol_a3_per_atom": 22.9
}